Here is Ba2CaTb2Ti3Cu2O14 after structural relaxation from Alexandria via LeMat-Bulk. Energies are from PBE.

```
24
Lattice="3.900 0.000 0.000 0.000 3.900 0.000 0.000 0.000 19.948" Properties=species:S:1:pos:R:3 pbc="T T T"
Ba 0.000 0.000 0.000
Ba 0.000 0.000 7.430
Ca 0.000 0.000 15.888
Tb 0.000 0.000 3.711
Tb 0.000 0.000 11.691
Ti 1.950 1.950 9.697
Ti 1.950 1.950 13.647
Ti 1.950 1.950 17.654
Cu 1.950 1.950 2.104
Cu 1.950 1.950 5.338
O 0.000 1.950 2.248
O 0.000 1.950 5.144
O 0.000 1.950 9.917
O 0.000 1.950 13.405
O 0.000 1.950 17.434
O 1.950 0.000 2.248
O 1.950 0.000 5.144
O 1.950 0.000 9.917
O 1.950 0.000 13.405
O 1.950 0.000 17.434
O 1.950 1.950 7.813
O 1.950 1.950 11.669
O 1.950 1.950 15.503
O 1.950 1.950 19.503
```

Properties
As for the total magnetic moment: 0.00 Bohr magnetons per cell. The value obtained for the formation energy without anion corrections is -2.7195 eV per atom. The density of states at the Fermi level is 0.0935 states/eV per atom.